Entry 1:
A relaxed CaTePt crystal, computed with PBE.

Summary:
Energy relative to the elements, uncorrected   -89.51 kJ per mole of atoms
Uncorrected energy   -4.66 eV per atom
Crystal system   monoclinic
Total moment   0.00 μB per cell

Cell lengths 10.7613, 4.7126, 6.1702 Å; angles 90.00, 90.78, 90.00 degrees
Closest atoms and distances in Å follow each position.
Space group Cm (No. 8)
Symmetry-distinct sites (fractional):
1 Ca 0.0000 0.0000 0.0000  5 Pt 3.06-3.21, 5 Te 3.09-3.22
2 Ca 0.2376 0.5000 0.5171  3 Pt 3.00-3.23, 3 Te 3.14-3.25
3 Te 0.0291 0.0000 0.4981  2 Pt 2.76, 1 Ca 3.09
4 Te 0.2971 0.0000 0.0238  3 Pt 2.57-2.68
5 Pt 0.2017 0.5000 0.9981  2 Te 2.57
6 Pt 0.4558 0.0000 0.6922  3 Te 2.68-2.76



Entry 2:
A relaxed CaTePt crystal, computed with PBE.

Summary:
Energy relative to the elements, uncorrected   -51.85 kJ per mole of atoms
Uncorrected energy   -4.27 eV per atom
Crystal system   orthorhombic
Total moment   0.00 μB per cell

Cell lengths 11.4492, 3.9817, 6.9512 Å; angles 90.00, 90.00, 90.00 degrees
Closest atoms and distances in Å follow each position.
Space group Amm2 (No. 38)
Symmetry-distinct sites (fractional):
1 Ca 0.1554 0.0000 0.0000  3 Pt 2.91-2.92
2 Te 0.3586 0.0000 0.3324  3 Pt 2.79-2.83
3 Pt 0.0000 0.0000 0.3323  6 Ca 2.91-2.92
4 Pt 0.5000 0.0000 0.0051  6 Te 2.79-2.83



Entry 3:
A relaxed CaTePt4 crystal, computed with PBE.

Summary:
Energy relative to the elements, uncorrected   -42.31 kJ per mole of atoms
Uncorrected energy   -5.32 eV per atom
Crystal system   cubic
Total moment   0.00 μB per cell

Cell lengths 7.6973, 7.6973, 7.6973 Å; angles 90.00, 90.00, 90.00 degrees
Closest atoms and distances in Å follow each position.
Space group F-43m (No. 216)
Symmetry-distinct sites (fractional):
1 Ca 0.0000 0.0000 0.0000  12 Pt 3.19, 4 Te 3.33
2 Te 0.2500 0.2500 0.2500  12 Pt 3.19, 4 Ca 3.33
3 Pt 0.1251 0.1251 0.6251  6 Pt 2.72



Entry 4:
A relaxed CaTe8Pt4 crystal, computed with PBE.

Summary:
Energy relative to the elements, uncorrected   -43.07 kJ per mole of atoms
Uncorrected energy   -4.39 eV per atom
Crystal system   trigonal
Total moment   0.00 μB per cell

Cell lengths 8.1020, 8.1020, 21.8838 Å; angles 90.00, 90.00, 120.00 degrees
Closest atoms and distances in Å follow each position.
Space group R-3m (No. 166, hexagonal axes)
Symmetry-distinct sites (fractional):
1 Ca 0.0000 0.0000 0.0000  6 Te 3.21
2 Te 0.0000 0.0000 0.2311  3 Pt 2.73
3 Te 0.0055 0.5027 0.7693  3 Pt 2.71-2.76
4 Pt 0.0000 0.0000 0.5000  6 Te 2.76
5 Pt 0.0000 0.5000 0.5000  6 Te 2.71-2.73



Entry 5:
A relaxed CaTePt crystal, computed with PBE.

Summary:
Energy relative to the elements, uncorrected   -36.66 kJ per mole of atoms
Uncorrected energy   -4.11 eV per atom
Crystal system   hexagonal
Total moment   0.00 μB per cell

Cell lengths 5.2448, 5.2448, 10.0295 Å; angles 90.00, 90.00, 120.00 degrees
Closest atoms and distances in Å follow each position.
Space group P6_3/mmc (No. 194)
Symmetry-distinct sites (fractional):
1 Ca 0.3333 0.6667 0.2500  3 Te 3.03
2 Te 0.0000 0.0000 0.2500  2 Pt 2.51
3 Pt 0.0000 0.0000 0.0000  2 Te 2.51



Entry 6:
A relaxed Ca2TePt crystal, computed with PBE.

Summary:
Energy relative to the elements, uncorrected   -106.83 kJ per mole of atoms
Uncorrected energy   -4.40 eV per atom
Crystal system   trigonal
Total moment   0.00 μB per cell

Cell lengths 4.3437, 4.3437, 21.0939 Å; angles 90.00, 90.00, 120.00 degrees
Closest atoms and distances in Å follow each position.
Space group R-3m (No. 166, hexagonal axes)
Symmetry-distinct sites (fractional):
1 Ca 0.0000 0.0000 0.2436  3 Pt 2.99, 3 Te 3.14
2 Te 0.0000 0.0000 0.0000  6 Ca 3.14
3 Pt 0.0000 0.0000 0.5000  6 Ca 2.99



Entry 7:
A relaxed Ca2TePt crystal, computed with PBE.

Summary:
Energy relative to the elements, uncorrected   -50.55 kJ per mole of atoms
Uncorrected energy   -3.82 eV per atom
Crystal system   cubic
Total moment   0.00 μB per cell

Cell lengths 7.3261, 7.3261, 7.3261 Å; angles 90.00, 90.00, 90.00 degrees
Closest atoms and distances in Å follow each position.
Space group F-43m (No. 216)
Symmetry-distinct sites (fractional):
1 Ca 0.0000 0.0000 0.0000  4 Te 3.17, 4 Ca 3.17
2 Ca 0.2500 0.2500 0.2500  4 Ca 3.17, 4 Pt 3.17
3 Te 0.2500 0.2500 0.7500  4 Ca 3.17, 4 Pt 3.17
4 Pt 0.0000 0.0000 0.5000  4 Te 3.17, 4 Ca 3.17



Entry 8:
A relaxed CaTePt crystal, computed with PBE.

Summary:
Energy relative to the elements, uncorrected   -90.52 kJ per mole of atoms
Uncorrected energy   -4.67 eV per atom
Crystal system   monoclinic
Total moment   0.00 μB per cell

Cell lengths 4.7199, 4.3084, 8.4208 Å; angles 90.00, 100.69, 90.00 degrees
Closest atoms and distances in Å follow each position.
Space group Pm (No. 6)
Symmetry-distinct sites (fractional):
1 Ca 0.0000 0.0000 0.0000  4 Pt 3.02-3.06, 2 Te 3.30
2 Ca 0.2446 0.0000 0.5128  2 Pt 3.01, 6 Te 3.18-3.30
3 Te 0.3222 0.5000 0.7955  1 Pt 2.58
4 Te 0.7116 0.5000 0.4121  3 Pt 2.68
5 Pt 0.1614 0.5000 0.2593  2 Te 2.68, 2 Pt 2.73-2.77
6 Pt 0.6090 0.5000 0.0883  2 Te 2.58-2.68, 2 Pt 2.73-2.77



Entry 9:
A relaxed Ca2TePt crystal, computed with PBE.

Summary:
Energy relative to the elements, uncorrected   -103.64 kJ per mole of atoms
Uncorrected energy   -4.37 eV per atom
Crystal system   tetragonal
Total moment   0.00 μB per cell

Cell lengths 4.3390, 4.3390, 6.1565 Å; angles 90.00, 90.00, 90.00 degrees
Closest atoms and distances in Å follow each position.
Space group P4mm (No. 99)
Symmetry-distinct sites (fractional):
1 Ca 0.0000 0.0000 0.0000  2 Pt 2.97-3.18, 4 Te 3.07
2 Ca 0.5000 0.5000 0.4730  4 Pt 3.07, 2 Te 3.07-3.09
3 Te 0.5000 0.5000 0.9718  6 Ca 3.07-3.09
4 Pt 0.0000 0.0000 0.4832  6 Ca 2.97-3.18



Entry 10:
A relaxed CaTe2Pt2 crystal, computed with PBE.

Summary:
Energy relative to the elements, uncorrected   -53.65 kJ per mole of atoms
Energy above the lowest structure with this stoichiometry   0 meV/atom
Uncorrected energy   -4.63 eV per atom
Crystal system   tetragonal
Total moment   0.00 μB per cell

Cell lengths 5.2677, 5.2677, 8.8726 Å; angles 90.00, 90.00, 90.00 degrees
Closest atoms and distances in Å follow each position.
Space group I4/mmm (No. 139)
Symmetry-distinct sites (fractional):
1 Ca 0.0000 0.0000 0.0000  2 Pt 2.99
2 Te 0.0000 0.5000 0.2500  4 Pt 2.74
3 Pt 0.0000 0.0000 0.3366  4 Te 2.74, 1 Pt 2.90, 1 Ca 2.99



Entry 11:
A relaxed Ca2TePt crystal, computed with PBE.

Summary:
Energy relative to the elements, uncorrected   -100.15 kJ per mole of atoms
Uncorrected energy   -4.33 eV per atom
Crystal system   orthorhombic
Total moment   0.00 μB per cell

Cell lengths 3.6714, 3.7040, 7.4522 Å; angles 90.00, 90.00, 90.00 degrees
Closest atoms and distances in Å follow each position.
Space group Pmmm (No. 47)
Symmetry-distinct sites (fractional):
1 Ca 0.0000 0.0000 0.2296  4 Pt 3.12, 4 Te 3.30, 1 Ca 3.42
2 Te 0.5000 0.5000 0.5000  8 Ca 3.30, 2 Te 3.67
3 Pt 0.5000 0.5000 0.0000  8 Ca 3.12



Entry 12:
A relaxed CaTePt crystal, computed with PBE.

Summary:
Energy relative to the elements, uncorrected   -56.92 kJ per mole of atoms
Uncorrected energy   -4.32 eV per atom
Crystal system   tetragonal
Total moment   0.00 μB per cell

Cell lengths 5.1386, 5.1386, 6.0508 Å; angles 90.00, 90.00, 90.00 degrees
Closest atoms and distances in Å follow each position.
Space group P4/nmm (No. 129, origin choice 2)
Symmetry-distinct sites (fractional):
1 Ca 0.2500 0.2500 0.1474  2 Pt 2.88-3.17
2 Te 0.2500 0.7500 0.5000  4 Pt 2.77
3 Pt 0.2500 0.2500 0.6709  4 Te 2.77, 1 Ca 2.88



Q: The lowest energy relative to the elements, uncorrected belongs to which entry?
A: number 6